(1)
First-principles (PBE) data for LuNpC2 after structural relaxation, as listed in the Alexandria database.

Geometry as POSCAR:
```
LuNpC2
1.0
1.7540 1.0127 5.6578
-1.7540 1.0127 5.6578
0.0000 -2.0253 5.6578
Lu Np C
1 1 2
Direct
0.0000 0.0000 0.0000 Lu
0.5000 0.5000 0.5000 Np
0.2420 0.2420 0.2420 C
0.7580 0.7580 0.7580 C
```

Properties
VASP energy ... -36.4 eV per cell
Space-group type ... No. 166

(2)
First-principles (PBE) data for LuOsC after structural relaxation, as listed in the Alexandria database.

Geometry as POSCAR:
```
LuOsC
1.0
3.3315 0.0000 0.0000
-1.6658 2.8852 0.0000
0.0000 0.0000 4.7016
Lu Os C
1 1 1
Direct
0.0000 0.0000 0.0000 Lu
0.6667 0.3333 0.5214 Os
0.3333 0.6667 0.6721 C
```

Properties
VASP energy ... -25.3 eV per cell
Space-group type ... No. 156

(3)
First-principles (PBE) data for Lu2OsC after structural relaxation, as listed in the Alexandria database.

Geometry as POSCAR:
```
Lu2OsC
1.0
1.6481 0.9515 7.9974
-1.6481 0.9515 7.9974
0.0000 -1.9031 7.9974
Lu Os C
2 1 1
Direct
0.1107 0.1107 0.1107 Lu
0.8893 0.8893 0.8893 Lu
0.0000 0.0000 0.0000 Os
0.5000 0.5000 0.5000 C
```

Properties
VASP energy ... -27.8 eV per cell
Space-group type ... No. 166

(4)
First-principles (PBE) data for Lu2PC after structural relaxation, as listed in the Alexandria database.

Geometry as POSCAR:
```
Lu2PC
1.0
1.7959 1.0368 6.3791
-1.7959 1.0368 6.3791
0.0000 -2.0737 6.3791
Lu P C
2 1 1
Direct
0.2369 0.2369 0.2369 Lu
0.7631 0.7631 0.7631 Lu
0.0000 0.0000 0.0000 P
0.5000 0.5000 0.5000 C
```

Properties
VASP energy ... -26.9 eV per cell
Space-group type ... No. 166

(5)
First-principles (PBE) data for LuPaC2 after structural relaxation, as listed in the Alexandria database.

Geometry as POSCAR:
```
LuPaC2
1.0
1.7997 1.0390 5.7242
-1.7997 1.0390 5.7242
0.0000 -2.0781 5.7242
Lu Pa C
1 1 2
Direct
0.0000 0.0000 0.0000 Lu
0.5000 0.5000 0.5000 Pa
0.2447 0.2447 0.2447 C
0.7553 0.7553 0.7553 C
```

Properties
VASP energy ... -34.3 eV per cell
Space-group type ... No. 166

(6)
First-principles (PBE) data for LuPa3C after structural relaxation, as listed in the Alexandria database.

Geometry as POSCAR:
```
LuPa3C
1.0
4.8598 0.0000 0.0000
0.0000 4.8598 0.0000
0.0000 0.0000 4.8598
Lu Pa C
1 3 1
Direct
0.0000 0.0000 0.0000 Lu
0.0000 0.5000 0.5000 Pa
0.5000 0.0000 0.5000 Pa
0.5000 0.5000 0.0000 Pa
0.5000 0.5000 0.5000 C
```

Properties
VASP energy ... -42.7 eV per cell
Space-group type ... No. 221

(7)
First-principles (PBE) data for LuPa2C after structural relaxation, as listed in the Alexandria database.

Geometry as POSCAR:
```
LuPa2C
1.0
1.6534 0.9546 9.4077
-1.6534 0.9546 9.4077
0.0000 -1.9092 9.4077
Lu Pa C
1 2 1
Direct
0.0000 0.0000 0.0000 Lu
0.1133 0.1133 0.1133 Pa
0.8867 0.8867 0.8867 Pa
0.5000 0.5000 0.5000 C
```

Properties
VASP energy ... -32.7 eV per cell
Space-group type ... No. 166

(8)
First-principles (PBE) data for Lu3PbC after structural relaxation, as listed in the Alexandria database.

Geometry as POSCAR:
```
Lu3PbC
1.0
4.7892 0.0000 0.0000
0.0000 4.7892 0.0000
0.0000 0.0000 4.7892
Lu Pb C
3 1 1
Direct
0.0000 0.0000 0.5000 Lu
0.0000 0.5000 0.0000 Lu
0.5000 0.0000 0.0000 Lu
0.5000 0.5000 0.5000 Pb
0.0000 0.0000 0.0000 C
```

Properties
VASP energy ... -29.3 eV per cell
Space-group type ... No. 221

(9)
First-principles (PBE) data for Lu2PbC after structural relaxation, as listed in the Alexandria database.

Geometry as POSCAR:
```
Lu2PbC
1.0
1.7808 1.0281 7.8331
-1.7808 1.0281 7.8331
0.0000 -2.0563 7.8331
Lu Pb C
2 1 1
Direct
0.2213 0.2213 0.2213 Lu
0.7787 0.7787 0.7787 Lu
0.0000 0.0000 0.0000 Pb
0.5000 0.5000 0.5000 C
```

Properties
VASP energy ... -24.2 eV per cell
Space-group type ... No. 166

(10)
First-principles (PBE) data for Lu2PdC after structural relaxation, as listed in the Alexandria database.

Geometry as POSCAR:
```
Lu2PdC
1.0
1.7684 1.0210 6.7618
-1.7684 1.0210 6.7618
0.0000 -2.0420 6.7618
Lu Pd C
2 1 1
Direct
0.2316 0.2316 0.2316 Lu
0.7684 0.7684 0.7684 Lu
0.0000 0.0000 0.0000 Pd
0.5000 0.5000 0.5000 C
```

Properties
VASP energy ... -25.7 eV per cell
Space-group type ... No. 166

(11)
First-principles (PBE) data for PmLu2C after structural relaxation, as listed in the Alexandria database.

Geometry as POSCAR:
```
PmLu2C
1.0
1.7322 1.0001 9.6314
-1.7322 1.0001 9.6314
0.0000 -2.0002 9.6314
Pm Lu C
1 2 1
Direct
0.0000 0.0000 0.0000 Pm
0.1214 0.1214 0.1214 Lu
0.8786 0.8786 0.8786 Lu
0.5000 0.5000 0.5000 C
```

Properties
VASP energy ... -23.6 eV per cell
Space-group type ... No. 166

(12)
First-principles (PBE) data for Pm2LuC after structural relaxation, as listed in the Alexandria database.

Geometry as POSCAR:
```
Pm2LuC
1.0
1.7979 1.0380 9.7728
-1.7979 1.0380 9.7728
0.0000 -2.0761 9.7728
Pm Lu C
2 1 1
Direct
0.1185 0.1185 0.1185 Pm
0.8815 0.8815 0.8815 Pm
0.0000 0.0000 0.0000 Lu
0.5000 0.5000 0.5000 C
```

Properties
VASP energy ... -23.0 eV per cell
Space-group type ... No. 166